Tl12Hg3Pb, optimized geometry, DFT PBE; calculated density = 11.1 Mg/m³; energy of formation from the pure elements = 0.005 eV/atom; space-group type = P4/mmm (123); energy = -2.0580 eV/atom
1.0
5.603 0.000 0.000
0.000 5.603 0.000
0.000 0.000 15.488
Tl Pb Hg
12 1 3
direct
0.000 0.500 0.625
0.500 0.500 0.000
0.500 0.000 0.625
0.500 0.000 0.870
0.500 0.000 0.375
0.500 0.500 0.744
0.000 0.500 0.130
0.000 0.500 0.870
0.500 0.000 0.130
0.500 0.500 0.256
0.500 0.500 0.500
0.000 0.500 0.375
0.000 0.000 0.000
0.000 0.000 0.249
0.000 0.000 0.751
0.000 0.000 0.500